ZrBeVCu2: optimized geometry, PBE. Values from VASP.

Cell and atoms, written as Quantum ESPRESSO input:
```
&SYSTEM
  ibrav = 0, nat = 5, ntyp = 4
/
ATOMIC_SPECIES
V 50.94 V.upf
Zr 91.22 Zr.upf
Cu 63.55 Cu.upf
Be 9.01 Be.upf
CELL_PARAMETERS angstrom
4.830 0.000 0.000
0.000 4.568 0.000
0.000 0.000 4.830
ATOMIC_POSITIONS crystal
V 0.000 0.500 0.000
Zr 0.000 0.000 0.000
Cu 0.000 0.000 0.500
Cu 0.500 0.000 0.000
Be 0.500 0.500 0.500
```

Calculated density ... 4.34 Mg/m³
Energy relative to the elements ... 1.779 eV/atom
Space group ... No. 123